Record 1
! MnV4Ge | Alexandria | PBE | optimized geometry; values from VASP
! total magnetic moment = 0.255 μB per atom
! formation enthalpy at 0 K = 0.19 eV/atom
! raw total energy = -49.11 eV per formula unit
&SYSTEM
  ibrav = 0, nat = 6, ntyp = 3
/
ATOMIC_SPECIES
Mn 54.94 Mn.upf
V 50.94 V.upf
Ge 72.64 Ge.upf
ATOMIC_POSITIONS crystal
Mn 0.0000 0.0000 0.0000
V 0.2300 0.2300 0.6858
V 0.3722 0.3722 0.1157
V 0.6278 0.6278 0.8843
V 0.7700 0.7700 0.3142
Ge 0.5000 0.5000 0.5000
CELL_PARAMETERS angstrom
3.4018 -1.9505 0.0000
3.4018 1.9505 0.0000
-2.2721 0.0000 6.5769

Record 2
! Mn2VGe | Alexandria | PBE | optimized geometry; values from VASP
! total magnetic moment = 0.913 μB per atom
! formation enthalpy at 0 K = 0.38 eV/atom
! raw total energy = -30.55 eV per formula unit
&SYSTEM
  ibrav = 0, nat = 8, ntyp = 3
/
ATOMIC_SPECIES
Mn 54.94 Mn.upf
V 50.94 V.upf
Ge 72.64 Ge.upf
ATOMIC_POSITIONS crystal
Mn 0.1091 0.6250 0.9841
Mn 0.3750 0.3591 0.4841
Mn 0.6409 0.1250 0.0159
Mn 0.8750 0.8909 0.5159
V 0.0000 0.0000 0.0000
V 0.7500 0.2500 0.5000
Ge 0.2500 0.7500 0.5000
Ge 0.5000 0.5000 0.0000
CELL_PARAMETERS angstrom
-3.3172 3.3172 2.5871
3.3172 -3.3172 2.5871
3.3172 3.3172 -2.5871

Record 3
! Mn2V2Ge | Alexandria | PBE | optimized geometry; values from VASP
! total magnetic moment = 0.000 μB per atom
! formation enthalpy at 0 K = 0.01 eV/atom
! raw total energy = -41.17 eV per formula unit
&SYSTEM
  ibrav = 0, nat = 5, ntyp = 3
/
ATOMIC_SPECIES
Mn 54.94 Mn.upf
V 50.94 V.upf
Ge 72.64 Ge.upf
ATOMIC_POSITIONS crystal
Mn 0.0016 0.0016 0.2186
Mn 0.9984 0.9984 0.7814
V 0.2903 0.2903 0.7888
V 0.7097 0.7097 0.2112
Ge 0.5000 0.5000 0.5000
CELL_PARAMETERS angstrom
4.1117 -2.0261 0.0000
4.1117 2.0261 0.0000
-2.7545 0.0000 3.9327

Record 4
! YMnVGe2 | Alexandria | PBE | optimized geometry; values from VASP
! total magnetic moment = 0.164 μB per atom
! formation enthalpy at 0 K = -0.49 eV/atom
! raw total energy = -36.43 eV per formula unit
&SYSTEM
  ibrav = 0, nat = 5, ntyp = 4
/
ATOMIC_SPECIES
Y 88.91 Y.upf
Mn 54.94 Mn.upf
V 50.94 V.upf
Ge 72.64 Ge.upf
ATOMIC_POSITIONS crystal
Y 0.0000 0.0000 0.0000
Mn 0.2500 0.7500 0.5000
V 0.7500 0.2500 0.5000
Ge 0.3859 0.3859 0.0000
Ge 0.6141 0.6141 0.0000
CELL_PARAMETERS angstrom
-1.9857 1.9857 5.5437
1.9857 -1.9857 5.5437
1.9857 1.9857 -5.5437

Record 5
! MnGeW3 | Alexandria | PBE | optimized geometry; values from VASP
! total magnetic moment = 0.010 μB per atom
! formation enthalpy at 0 K = 2.06 eV/atom
! raw total energy = -42.34 eV per formula unit
&SYSTEM
  ibrav = 0, nat = 5, ntyp = 3
/
ATOMIC_SPECIES
Mn 54.94 Mn.upf
Ge 72.64 Ge.upf
W 183.84 W.upf
ATOMIC_POSITIONS crystal
Mn 0.0000 0.0000 0.0000
Ge 0.5000 0.5000 0.5000
W 0.0000 0.5000 0.5000
W 0.5000 0.0000 0.5000
W 0.5000 0.5000 0.0000
CELL_PARAMETERS angstrom
4.5375 0.0000 0.0000
0.0000 4.5375 0.0000
0.0000 0.0000 4.5375

Record 6
! MnGeW3 | Alexandria | PBE | optimized geometry; values from VASP
! total magnetic moment = 0.000 μB per atom
! formation enthalpy at 0 K = 1.43 eV/atom
! raw total energy = -45.51 eV per formula unit
&SYSTEM
  ibrav = 0, nat = 5, ntyp = 3
/
ATOMIC_SPECIES
Mn 54.94 Mn.upf
Ge 72.64 Ge.upf
W 183.84 W.upf
ATOMIC_POSITIONS crystal
Mn 0.0000 0.0000 0.0000
Ge 0.5000 0.5000 0.5000
W 0.0000 0.0000 0.5000
W 0.0000 0.5000 0.0000
W 0.5000 0.0000 0.0000
CELL_PARAMETERS angstrom
4.5122 0.0000 0.0000
0.0000 4.5122 0.0000
0.0000 0.0000 4.5122

Question: What is the formula in the sixth record?
Answer: MnGeW3